## AlFe2O4 (PBE with a Hubbard U)

Data for crystalline AlFe2O4 at its relaxed geometry.

a b c (Å): 6.462 6.462 6.462
angles (deg): 131.43 131.43 71.14
Positions (direct):
1 O 0.739 0.844 0.521
2 O 0.427 0.031 0.021
3 O 0.011 0.406 0.979
4 O 0.323 0.219 0.479
5 O 0.781 0.261 0.105
6 O 0.156 0.677 0.895
7 O 0.594 0.573 0.605
8 O 0.969 0.989 0.395
9 Fe 0.875 0.625 0.250
10 Fe 0.375 0.625 0.250
11 Fe 0.375 0.125 0.750
12 Fe 0.375 0.625 0.750
13 Al 0.000 0.000 0.000
14 Al 0.750 0.250 0.500

## Properties
The total energy comes out at -6.569 eV/atom. The value obtained for the density of states at the Fermi level is 0.2729 states/eV/atom.